1.
Entry from the Alexandria database: an optimized crystal structure of Pm2PrH (GGA-PBE).

Cell lengths 3.697, 3.697, 9.151 Å; angles 78.35, 78.35, 60.00 degrees
Positions (direct):
Pm 0.053 0.053 0.840
Pm 0.280 0.280 0.161
Pr 0.501 0.501 0.498
H 0.666 0.666 0.001

Summary:
Electronic total energy ... -18.3 eV per cell
Symmetry ... No. 160



2.
Entry from the Alexandria database: an optimized crystal structure of PmPrH2 (GGA-PBE).

Cell lengths 3.679, 3.679, 11.786 Å; angles 90.00, 90.00, 120.00 degrees
Positions (direct):
Pm 0.333 0.667 0.250
Pm 0.667 0.333 0.750
Pr 0.000 0.000 0.000
Pr 0.000 0.000 0.500
H 0.333 0.667 0.875
H 0.667 0.333 0.125
H 0.667 0.333 0.375
H 0.333 0.667 0.625

Summary:
Electronic total energy ... -35.4 eV per cell
Symmetry ... No. 194



3.
Entry from the Alexandria database: an optimized crystal structure of PmPr3H8 (GGA-PBE).

Cell lengths 5.503, 5.503, 5.503 Å; angles 90.00, 90.00, 90.00 degrees
Positions (direct):
Pm 0.000 0.000 0.000
Pr 0.500 0.500 0.000
Pr 0.500 0.000 0.500
Pr 0.000 0.500 0.500
H 0.247 0.247 0.753
H 0.247 0.753 0.247
H 0.753 0.247 0.247
H 0.753 0.753 0.753
H 0.753 0.753 0.247
H 0.753 0.247 0.753
H 0.247 0.753 0.753
H 0.247 0.247 0.247

Summary:
Electronic total energy ... -53.7 eV per cell
Symmetry ... No. 221